[1]
Density functional theory data (PBE) for a relaxed TeMoSe crystal.

Cell and atoms, written as POSCAR:
```
TeMoSe
1.0
4.4694 0.0000 0.0000
-2.2347 3.8706 0.0000
0.0000 0.0000 3.5527
Se Te Mo
1 1 1
direct
0.3333 0.6667 0.1686
0.6667 0.3333 0.6756
0.0000 0.0000 0.1558
```

Calculated values
Energy above the lowest structure with this stoichiometry ... 796.9 meV per atom
ΔE_f (raw) ... 1.03 eV per formula unit
Final energy ... -16.43 eV/cell



[2]
Density functional theory data (PBE) for a relaxed TeMoSe2 crystal.

Cell and atoms, written as POSCAR:
```
TeMoSe2
1.0
-2.7883 -1.3631 0.8550
2.6258 -2.3695 4.7832
-0.6982 9.5854 7.0880
Se Mo Te
4 2 2
direct
0.9517 0.5646 0.5650
0.6088 0.3156 0.8872
0.0896 0.8356 0.8478
0.4709 0.0458 0.6043
0.5271 0.6340 0.7197
0.0332 0.2471 0.7324
0.3041 0.9662 0.2672
0.2716 0.5211 0.1992
```

Calculated values
ΔE_f (raw) ... -1.53 eV per formula unit
Final energy ... -44.94 eV/cell



[3]
Density functional theory data (PBE) for a relaxed Te2MoSe crystal.

Cell and atoms, written as POSCAR:
```
Te2MoSe
1.0
-8.0262 3.2439 3.1010
-9.1184 0.8807 0.7990
-8.2682 -0.0979 4.0233
Te Mo Se
2 1 1
direct
0.9867 0.9867 0.9867
0.5133 0.5133 0.5133
0.2500 0.2500 0.2500
0.7500 0.7500 0.7500
```

Calculated values
ΔE_f (raw) ... 0.56 eV per formula unit
Final energy ... -20.04 eV/cell



[4]
Density functional theory data (PBE) for a relaxed TeMo2Se crystal.

Cell and atoms, written as POSCAR:
```
TeMo2Se
1.0
-4.1135 -3.7411 8.5556
-1.2242 -5.0638 8.7735
-1.7036 -2.1006 9.8387
Se Te Mo
1 1 2
direct
0.4718 0.4718 0.4718
0.2736 0.2736 0.2736
0.7480 0.7480 0.7480
0.0065 0.0065 0.0065
```

Calculated values
Energy above the lowest structure with this stoichiometry ... 167.9 meV per atom
ΔE_f (raw) ... 0.09 eV per formula unit
Final energy ... -28.20 eV/cell



[5]
Density functional theory data (PBE) for a relaxed TeMo2Se crystal.

Cell and atoms, written as POSCAR:
```
TeMo2Se
1.0
0.0000 3.2535 3.2535
3.2535 0.0000 3.2535
3.2535 3.2535 0.0000
Mo Se Te
2 1 1
direct
0.7500 0.7500 0.7500
0.2500 0.2500 0.2500
0.0000 0.0000 0.0000
0.5000 0.5000 0.5000
```

Calculated values
Energy above the lowest structure with this stoichiometry ... 398.8 meV per atom
ΔE_f (raw) ... 1.02 eV per formula unit
Final energy ... -27.27 eV/cell



[6]
Density functional theory data (PBE) for a relaxed TeMoSe crystal.

Cell and atoms, written as POSCAR:
```
TeMoSe
1.0
3.3909 0.0000 0.0000
-1.6954 2.9366 0.0000
0.0000 0.0000 7.4713
Se Mo Te
1 1 1
direct
0.6667 0.3333 0.2335
0.0000 0.0000 0.0146
0.3333 0.6667 0.7519
```

Calculated values
Energy above the lowest structure with this stoichiometry ... 171.5 meV per atom
ΔE_f (raw) ... -0.85 eV per formula unit
Final energy ... -18.30 eV/cell



[7]
Density functional theory data (PBE) for a relaxed Te2MoSe crystal.

Cell and atoms, written as POSCAR:
```
Te2MoSe
1.0
3.1509 0.0000 0.0000
0.0000 3.1509 0.0000
0.0000 0.0000 10.6381
Se Mo Te
1 1 2
direct
0.5000 0.5000 0.6506
0.0000 0.0000 0.5114
0.5000 0.5000 0.3432
0.0000 0.0000 0.9949
```

Calculated values
ΔE_f (raw) ... -0.32 eV per formula unit
Final energy ... -20.92 eV/cell



[8]
Density functional theory data (PBE) for a relaxed TeMo2Se crystal.

Cell and atoms, written as POSCAR:
```
TeMo2Se
1.0
3.2288 0.0125 0.0000
-1.6160 2.7953 0.0000
0.0000 0.0000 8.3654
Te Mo Se
1 2 1
direct
0.5000 0.5000 0.7500
0.0000 0.0000 0.0166
0.0000 0.0000 0.4834
0.5000 0.5000 0.2500
```

Calculated values
Energy above the lowest structure with this stoichiometry ... 858.4 meV per atom
ΔE_f (raw) ... 2.85 eV per formula unit
Final energy ... -25.43 eV/cell



[9]
Density functional theory data (PBE) for a relaxed Te2MoSe crystal.

Cell and atoms, written as POSCAR:
```
Te2MoSe
1.0
5.8374 3.0473 7.6194
6.5569 -0.2028 7.6408
8.1779 1.8473 5.5790
Mo Te Se
1 2 1
direct
0.0000 0.0000 0.0000
0.9116 0.9116 0.9116
0.0884 0.0884 0.0884
0.5000 0.5000 0.5000
```

Calculated values
ΔE_f (raw) ... 3.68 eV per formula unit
Final energy ... -16.92 eV/cell



[10]
Density functional theory data (PBE) for a relaxed Te2MoSe crystal.

Cell and atoms, written as POSCAR:
```
Te2MoSe
1.0
-0.7358 -6.5336 2.0633
6.7004 -1.1198 -1.1565
4.0912 -2.3685 5.4664
Se Te Mo
2 4 2
direct
0.2500 0.7500 0.5000
0.5000 0.5000 0.0000
0.0791 0.6250 0.2500
0.3750 0.3291 0.7500
0.6709 0.1250 0.2500
0.8750 0.9209 0.7500
0.0000 0.0000 0.0000
0.7500 0.2500 0.5000
```

Calculated values
ΔE_f (raw) ... 1.97 eV per formula unit
Final energy ... -37.25 eV/cell



[11]
Density functional theory data (PBE) for a relaxed TeMoSe2 crystal.

Cell and atoms, written as POSCAR:
```
TeMoSe2
1.0
-9.2950 -6.8620 0.1120
-7.9857 -7.8161 2.9384
-9.9205 -5.1969 2.8413
Te Mo Se
1 1 2
direct
0.0000 0.0000 0.0000
0.5000 0.5000 0.5000
0.1159 0.1159 0.1159
0.8841 0.8841 0.8841
```

Calculated values
ΔE_f (raw) ... -0.91 eV per formula unit
Final energy ... -21.85 eV/cell



[12]
Density functional theory data (PBE) for a relaxed TeMoSe2 crystal.

Cell and atoms, written as POSCAR:
```
TeMoSe2
1.0
3.2907 0.0000 0.0000
0.0000 5.6138 -0.2207
0.0000 3.1415 4.6578
Se Te Mo
2 1 1
direct
0.0000 0.9464 0.9466
0.0000 0.5536 0.5534
0.5000 0.2500 0.2500
0.5000 0.7500 0.7500
```

Calculated values
ΔE_f (raw) ... -0.48 eV per formula unit
Final energy ... -21.43 eV/cell



[13]
Density functional theory data (PBE) for a relaxed TeMoSe2 crystal.

Cell and atoms, written as POSCAR:
```
TeMoSe2
1.0
6.7917 0.0000 0.0000
0.0000 6.7917 0.0000
3.3959 3.3959 4.9387
Mo Te Se
2 2 4
direct
0.2500 0.7500 0.5000
0.5000 0.5000 0.0000
0.7500 0.2500 0.5000
0.0000 0.0000 0.0000
0.2007 0.6250 0.2500
0.8750 0.7993 0.7500
0.3750 0.4507 0.7500
0.5493 0.1250 0.2500
```

Calculated values
ΔE_f (raw) ... 1.24 eV per formula unit
Final energy ... -39.40 eV/cell



[14]
Density functional theory data (PBE) for a relaxed TeMoSe2 crystal.

Cell and atoms, written as POSCAR:
```
TeMoSe2
1.0
6.5813 0.0125 -0.0038
3.9460 5.2671 0.0038
-4.7586 -3.6468 2.7147
Se Te Mo
2 1 1
direct
0.4200 0.4200 0.0000
0.0800 0.0800 0.0000
0.7500 0.2500 0.5000
0.2500 0.7500 0.5000
```

Calculated values
ΔE_f (raw) ... 0.57 eV per formula unit
Final energy ... -20.37 eV/cell



[15]
Density functional theory data (PBE) for a relaxed TeMo2Se crystal.

Cell and atoms, written as POSCAR:
```
TeMo2Se
1.0
-1.6771 0.9365 2.4179
-3.4560 -0.5213 -2.1952
-0.3646 -5.5181 1.8844
Mo Te Se
2 1 1
direct
0.5000 0.5000 0.2840
0.0000 0.0000 0.0020
0.5000 0.5000 0.7999
0.0000 0.0000 0.4141
```

Calculated values
Energy above the lowest structure with this stoichiometry ... 328.2 meV per atom
ΔE_f (raw) ... 0.73 eV per formula unit
Final energy ... -27.56 eV/cell